DFT (PBE-GGA) results for crystalline LaInHg2Te at its relaxed geometry.

The calculation puts the total magnetization at 0.000 μB/f.u. For the formation energy from raw total energies, the calculation gives 0.095 eV per atom. The calculated volume comes out at 191.25 Å³/cell. The raw total energy comes out at -2.187 eV/atom.

The structure belongs to space group P4/mmm (No. 123); the cell edges are 5.6143, 5.6143 and 6.0675 Å and the angles 90.00°, 90.00° and 90.00°. The asymmetric unit holds La at (0.0000, 0.0000, 0.0000), In at (0.5000, 0.5000, 0.0000), Hg at (0.0000, 0.5000, 0.5000) and Te at (0.0000, 0.0000, 0.5000).